No. 1
## Sm4HoCd (PBE)

Data for a relaxed Sm4HoCd crystal.

Calculated values
Space-group type = No. 123
Crystal system = tetragonal
Formation energy from the elements = -93 meV per atom
Energy above the lowest structure with this stoichiometry = 0.000 eV per atom
DOS(E_F) = 1.244 states/eV/atom

Lattice parameters (Å, degrees): 3.631 3.631 14.255 90.00 90.00 90.00
Positions (direct):
Sm1 0.500 0.500 0.175
Sm2 0.000 0.000 0.647
Sm3 0.000 0.000 0.353
Sm4 0.500 0.500 0.825
Ho1 0.000 0.000 0.000
Cd1 0.500 0.500 0.500

No. 2
## Ce5Al3Hg3 (PBE)

Data for a relaxed Ce5Al3Hg3 crystal.

Calculated values
Space-group type = No. 189
Crystal system = hexagonal
Formation energy from the elements = 46 meV per atom
DOS(E_F) = 2.430 states/eV/atom

Lattice parameters (Å, degrees): 3.106 10.068 10.068 120.00 90.00 90.00
Each line ends with the local moment (μB).
Positions (direct):
Ce1 0.500 0.667 0.333  0.70
Ce2 0.500 0.333 0.667  0.70
Ce3 0.500 0.350 0.000  0.86
Ce4 0.500 0.650 0.650  0.86
Ce5 0.500 0.000 0.350  0.86
Al1 0.500 0.852 0.000  0.00
Al2 0.500 0.148 0.148  0.00
Al3 0.500 0.000 0.852  0.00
Hg1 0.000 0.629 0.000  0.00
Hg2 0.000 0.000 0.629  0.00
Hg3 0.000 0.371 0.371  0.00

No. 3
## AsWSe4 (PBE)

Data for a relaxed AsWSe4 crystal.

Calculated values
Space-group type = No. 216
Crystal system = cubic
ΔE_f (raw) = 1.319 eV per atom
DOS(E_F) = 0.999 states/eV/atom

Lattice parameters (Å, degrees): 5.546 5.546 5.546 60.00 60.00 60.00
Each line ends with the local moment (μB).
Positions (direct):
As1 0.000 0.000 0.000  -0.22
W1 0.750 0.750 0.750  1.82
Se1 0.871 0.376 0.376  -0.01
Se2 0.376 0.376 0.871  -0.01
Se3 0.376 0.871 0.376  -0.01
Se4 0.376 0.376 0.376  -0.01

No. 4
## CsTl2Zn (PBE)

Data for a relaxed CsTl2Zn crystal.

Calculated values
Space-group type = No. 225
Crystal system = cubic
Formation energy from the elements = 218 meV per atom
Energy above the lowest structure with this stoichiometry = 0.232 eV per atom
DOS(E_F) = 0.961 states/eV/atom

Lattice parameters (Å, degrees): 5.819 5.819 5.819 60.00 60.00 60.00
Positions (direct):
Cs1 0.500 0.500 0.500
Tl1 0.250 0.250 0.250
Tl2 0.750 0.750 0.750
Zn1 0.000 0.000 0.000

No. 5
## Sm3HN2 (PBE)

Data for a relaxed Sm3HN2 crystal.

Calculated values
Space-group type = No. 71
Crystal system = orthorhombic
Energy above the lowest structure with this stoichiometry = 0.000 eV per atom
DOS(E_F) = 0.396 states/eV/atom

Lattice parameters (Å, degrees): 3.579 5.052 6.257 113.81 106.62 90.00
Positions (direct):
Sm1 0.819 0.319 0.137
Sm2 0.181 0.681 0.863
Sm3 0.500 0.000 0.500
H1 0.500 0.500 0.500
N1 0.832 0.832 0.164
N2 0.168 0.168 0.836

No. 6
## AsRhCl2 (PBE)

Data for a relaxed AsRhCl2 crystal.

Calculated values
Space-group type = No. 160
Crystal system = trigonal
Energy above the lowest structure with this stoichiometry = 0.273 eV per atom
ΔE_f (raw) = -0.327 eV per atom

Lattice parameters (Å, degrees): 8.278 8.278 8.278 25.10 25.10 25.10
Positions (direct):
As1 0.772 0.772 0.772
Rh1 0.486 0.486 0.486
Cl1 0.025 0.025 0.025
Cl2 0.217 0.217 0.217